Record 1
Compound: SrCaP
Source: the Alexandria database
Functional: GGA-PBEsol
Structure: relaxed Values from VASP.

Results
* DOS(E_F): 6.1 states/eV/cell
* electronic total energy: -48.9 eV/cell
* E_form: -79.3 kJ per mole of atoms

Quantum ESPRESSO input file:
```
&SYSTEM
  ibrav = 0, nat = 12, ntyp = 3
/
ATOMIC_SPECIES
Sr 87.62 Sr.upf
Ca 40.08 Ca.upf
P 30.97 P.upf
CELL_PARAMETERS angstrom
4.462 0.000 0.000
0.000 7.733 0.000
0.000 0.000 9.276
ATOMIC_POSITIONS angstrom
Sr 1.116 4.169 7.709
Ca 3.347 2.829 5.235
P 1.116 1.998 3.445
P 1.116 5.865 1.193
Ca 3.347 6.696 8.678
P 3.347 1.868 8.083
Sr 3.347 7.431 3.071
Ca 1.116 1.038 0.597
Sr 1.116 0.302 6.205
P 3.347 5.735 5.831
Sr 3.347 3.564 1.567
Ca 1.116 4.904 4.040
```

Record 2
Compound: LiSn3Pd
Source: the Alexandria database
Functional: GGA-PBEsol
Structure: relaxed Values from VASP.

Results
* DOS(E_F): 3.4 states/eV/cell
* electronic total energy: -20.5 eV/cell
* E_form: 4.3 kJ per mole of atoms

Quantum ESPRESSO input file:
```
&SYSTEM
  ibrav = 0, nat = 5, ntyp = 3
/
ATOMIC_SPECIES
Li 6.94 Li.upf
Sn 118.71 Sn.upf
Pd 106.42 Pd.upf
CELL_PARAMETERS angstrom
-2.907 -4.294 0.134
3.056 -1.953 3.709
-3.020 2.157 3.624
ATOMIC_POSITIONS angstrom
Li -1.435 -2.045 3.733
Sn -1.510 1.079 1.812
Sn 1.528 -0.977 1.854
Sn -1.454 -2.147 0.067
Pd 0.000 0.000 0.000
```

Record 3
Compound: MgBe2Ag
Source: the Alexandria database
Functional: GGA-PBEsol
Structure: relaxed Values from VASP.

Results
* DOS(E_F): 0.9 states/eV/cell
* electronic total energy: -12.1 eV/cell
* E_form: 23.4 kJ per mole of atoms

Quantum ESPRESSO input file:
```
&SYSTEM
  ibrav = 0, nat = 4, ntyp = 3
/
ATOMIC_SPECIES
Be 9.01 Be.upf
Mg 24.30 Mg.upf
Ag 107.87 Ag.upf
CELL_PARAMETERS angstrom
-0.549 1.618 3.842
0.232 -2.488 3.382
3.265 0.326 2.630
ATOMIC_POSITIONS angstrom
Be 2.211 -0.409 7.391
Be 0.000 0.000 0.000
Mg 0.737 -0.136 2.464
Ag 1.474 -0.272 4.927
```

Record 4
Compound: CoTeMo2
Source: the Alexandria database
Functional: GGA-PBEsol
Structure: relaxed Values from VASP.

Results
* DOS(E_F): 3.1 states/eV/cell
* electronic total energy: -33.2 eV/cell

Quantum ESPRESSO input file:
```
&SYSTEM
  ibrav = 0, nat = 4, ntyp = 3
/
ATOMIC_SPECIES
Mo 95.94 Mo.upf
Te 127.60 Te.upf
Co 58.93 Co.upf
CELL_PARAMETERS angstrom
-0.065 -1.904 2.381
-1.671 -1.969 -1.620
5.506 -2.892 -2.162
ATOMIC_POSITIONS angstrom
Mo 1.492 -0.784 -0.586
Mo 4.014 -2.109 -1.576
Te -0.868 -1.937 0.380
Co 1.885 -3.383 -0.701
```

Record 5
Compound: InRePb2
Source: the Alexandria database
Functional: GGA-PBEsol
Structure: relaxed Values from VASP.

Results
* DOS(E_F): 2.1 states/eV/cell
* electronic total energy: -21.8 eV/cell
* offset from the most stable computed form: 0 kJ/mol of formula units
* E_form: 60.6 kJ per mole of atoms

Quantum ESPRESSO input file:
```
&SYSTEM
  ibrav = 0, nat = 4, ntyp = 3
/
ATOMIC_SPECIES
In 114.82 In.upf
Pb 207.20 Pb.upf
Re 186.21 Re.upf
CELL_PARAMETERS angstrom
3.289 0.000 0.297
0.000 3.280 0.000
-0.779 0.000 8.581
ATOMIC_POSITIONS angstrom
In 1.255 1.640 4.439
Pb -0.155 0.000 1.718
Pb 2.665 0.000 7.161
Re 1.645 1.640 0.149
```

Record 6
Compound: Mg2NbCl
Source: the Alexandria database
Functional: GGA-PBEsol
Structure: relaxed Values from VASP.

Results
* DOS(E_F): 3.2 states/eV/cell
* electronic total energy: -13.5 eV/cell

Quantum ESPRESSO input file:
```
&SYSTEM
  ibrav = 0, nat = 4, ntyp = 3
/
ATOMIC_SPECIES
Cl 35.45 Cl.upf
Nb 92.91 Nb.upf
Mg 24.30 Mg.upf
CELL_PARAMETERS angstrom
4.949 0.000 0.000
2.475 4.286 0.000
2.475 1.429 4.041
ATOMIC_POSITIONS angstrom
Cl 0.000 0.000 0.000
Nb 4.949 2.857 2.021
Mg 7.424 4.286 3.031
Mg 2.475 1.429 1.010
```

Record 7
Compound: TiH
Source: the Alexandria database
Functional: GGA-PBEsol
Structure: relaxed Values from VASP.

Results
* DOS(E_F): 2.2 states/eV/cell
* electronic total energy: -24.9 eV/cell

Quantum ESPRESSO input file:
```
&SYSTEM
  ibrav = 0, nat = 4, ntyp = 2
/
ATOMIC_SPECIES
Ti 47.87 Ti.upf
H 1.01 H.upf
CELL_PARAMETERS angstrom
2.896 0.000 0.000
0.000 2.896 0.000
0.000 0.000 4.567
ATOMIC_POSITIONS angstrom
Ti 0.000 1.448 0.000
H 0.000 0.000 3.425
Ti 1.448 0.000 2.283
H 0.000 0.000 1.142
```

Record 8
Compound: LaHg2
Source: the Alexandria database
Functional: GGA-PBEsol
Structure: relaxed Values from VASP.

Results
* DOS(E_F): 9.3 states/eV/cell
* electronic total energy: -32.5 eV/cell
* E_form: -52.8 kJ per mole of atoms

Quantum ESPRESSO input file:
```
&SYSTEM
  ibrav = 0, nat = 12, ntyp = 2
/
ATOMIC_SPECIES
Hg 200.59 Hg.upf
La 138.91 La.upf
CELL_PARAMETERS angstrom
5.193 0.000 0.000
0.000 6.540 0.000
0.000 0.000 9.197
ATOMIC_POSITIONS angstrom
Hg 3.895 6.471 6.794
Hg 3.895 3.201 7.001
Hg 1.298 3.339 2.196
La 3.895 1.870 3.840
Hg 1.298 0.069 2.402
La 1.298 4.671 5.356
Hg 1.298 4.631 8.409
Hg 1.298 1.361 5.385
Hg 3.895 5.180 3.811
Hg 3.895 1.909 0.787
La 1.298 1.401 8.439
La 3.895 5.140 0.758
```

Record 9
Compound: NaLi2La3Ti6O18
Source: the Alexandria database
Functional: GGA-PBEsol
Structure: relaxed Values from VASP.

Results
* DOS(E_F): 0.0 states/eV/cell
* electronic total energy: -257.8 eV/cell

Quantum ESPRESSO input file:
```
&SYSTEM
  ibrav = 0, nat = 30, ntyp = 5
/
ATOMIC_SPECIES
La 138.91 La.upf
O 16.00 O.upf
Li 6.94 Li.upf
Ti 47.87 Ti.upf
Na 22.99 Na.upf
CELL_PARAMETERS angstrom
5.470 0.000 0.000
-0.006 7.782 0.000
-2.732 -3.891 8.151
ATOMIC_POSITIONS angstrom
La 0.000 0.000 6.723
O 2.732 3.891 1.436
Li 1.337 -0.004 2.695
O -0.003 3.891 3.936
Ti 2.746 1.968 6.735
Ti 0.025 5.801 4.063
Ti -0.031 1.981 4.063
O 1.148 5.848 2.500
Ti 2.768 5.818 1.421
O 1.099 2.048 5.697
Li 4.132 0.004 2.695
O 4.218 5.646 0.135
Ti 2.696 1.964 1.421
O 4.316 1.934 2.500
La -0.003 3.891 1.345
O 1.481 -2.072 5.324
O 1.517 1.922 2.870
O -1.099 -2.048 5.697
O 2.732 3.891 6.914
O -1.148 1.821 7.933
O 2.735 0.000 6.766
O 3.947 5.860 2.870
O 1.148 -1.821 7.933
La -0.003 3.891 6.897
O 0.000 0.000 4.144
Na 2.732 3.891 4.068
O -1.481 2.072 5.324
O 1.245 2.136 0.135
O 2.735 0.000 1.286
Ti 2.724 -1.967 6.735
```

Record 10
Compound: MnReSe
Source: the Alexandria database
Functional: GGA-PBEsol
Structure: relaxed Values from VASP.

Results
* DOS(E_F): 1.7 states/eV/cell
* electronic total energy: -26.2 eV/cell
* offset from the most stable computed form: 0 kJ/mol of formula units

Quantum ESPRESSO input file:
```
&SYSTEM
  ibrav = 0, nat = 3, ntyp = 3
/
ATOMIC_SPECIES
Mn 54.94 Mn.upf
Se 78.96 Se.upf
Re 186.21 Re.upf
CELL_PARAMETERS angstrom
-0.063 0.508 2.827
-2.293 -1.711 0.257
4.096 -3.196 -0.795
ATOMIC_POSITIONS angstrom
Mn 1.736 -4.395 2.287
Se 1.983 -2.581 0.507
Re -0.239 -1.824 1.782
```

Record 11
Compound: TaGa3Te
Source: the Alexandria database
Functional: GGA-PBEsol
Structure: relaxed Values from VASP.

Results
* DOS(E_F): 4.2 states/eV/cell
* electronic total energy: -22.6 eV/cell

Quantum ESPRESSO input file:
```
&SYSTEM
  ibrav = 0, nat = 5, ntyp = 3
/
ATOMIC_SPECIES
Ga 69.72 Ga.upf
Ta 180.95 Ta.upf
Te 127.60 Te.upf
CELL_PARAMETERS angstrom
-0.006 -5.032 0.258
4.238 -0.145 -2.721
2.725 0.214 4.232
ATOMIC_POSITIONS angstrom
Ga 2.119 -0.072 -1.361
Ga -0.003 -2.516 0.129
Ta 0.000 0.000 0.000
Ga 1.363 0.107 2.116
Te 3.479 -2.481 0.885
```

Record 12
Compound: FeNiGe2H
Source: the Alexandria database
Functional: GGA-PBEsol
Structure: relaxed Values from VASP.

Results
* DOS(E_F): 3.5 states/eV/cell
* electronic total energy: -23.8 eV/cell

Quantum ESPRESSO input file:
```
&SYSTEM
  ibrav = 0, nat = 5, ntyp = 4
/
ATOMIC_SPECIES
H 1.01 H.upf
Ni 58.69 Ni.upf
Ge 72.64 Ge.upf
Fe 55.84 Fe.upf
CELL_PARAMETERS angstrom
4.323 0.000 0.000
0.000 4.323 0.000
0.000 0.000 4.575
ATOMIC_POSITIONS angstrom
H 2.162 2.162 2.287
Ni 0.000 0.000 0.000
Ge 0.000 2.162 0.000
Ge 2.162 0.000 0.000
Fe 0.000 0.000 2.287
```

- DOS(E_F) of number 1 (SrCaP)?
  6.1 states/eV/cell